No. 1
# Ta2Zn2Ag (PBE, optimized geometry)
# - magnetization (μB per cell) = 0.00
# - energy of formation (meV/atom) = 265.1
# - crystal system = tetragonal
# - energy (eV for the cell shown) = -55.558
data_Ta2Zn2Ag
_symmetry_space_group_name_H-M 'P 1'
_symmetry_Int_Tables_number 1
_cell_length_a 6.5241
_cell_length_b 6.5241
_cell_length_c 3.8872
_cell_angle_alpha 90.00
_cell_angle_beta 90.00
_cell_angle_gamma 90.00
loop_
_symmetry_equiv_pos_as_xyz
'x,y,z'
loop_
_atom_site_label
_atom_site_type_symbol
_atom_site_fract_x
_atom_site_fract_y
_atom_site_fract_z
Zn1 Zn 0.3664 0.8664 0.0000
Zn2 Zn 0.8664 0.6336 0.0000
Zn3 Zn 0.6336 0.1336 0.0000
Zn4 Zn 0.1336 0.3664 0.0000
Ag1 Ag 0.0000 0.0000 0.0000
Ag2 Ag 0.5000 0.5000 0.0000
Ta1 Ta 0.1623 0.6623 0.5000
Ta2 Ta 0.6623 0.8377 0.5000
Ta3 Ta 0.8377 0.3377 0.5000
Ta4 Ta 0.3377 0.1623 0.5000

=====

No. 2
# RbNpO5 (PBE, optimized geometry)
# - magnetization (μB per cell) = 3.19
# - ΔE_f (raw) (eV per atom) = -1.7807
# - crystal system = monoclinic
# - energy (eV for the cell shown) = -102.328
data_RbNpO5
_symmetry_space_group_name_H-M 'P 1'
_symmetry_Int_Tables_number 1
_cell_length_a 4.4231
_cell_length_b 9.7079
_cell_length_c 7.5640
_cell_angle_alpha 97.61
_cell_angle_beta 73.00
_cell_angle_gamma 116.92
loop_
_symmetry_equiv_pos_as_xyz
'x,y,z'
loop_
_atom_site_label
_atom_site_type_symbol
_atom_site_fract_x
_atom_site_fract_y
_atom_site_fract_z
Rb1 Rb 0.3380 0.2500 0.3240
Rb2 Rb 0.6620 0.7500 0.6760
Np1 Np 0.0592 0.2500 0.8816
Np2 Np 0.9408 0.7500 0.1184
O1 O 0.1099 0.3953 0.0724
O2 O 0.3001 0.3989 0.6941
O3 O 0.4429 0.7500 0.1142
O4 O 0.0058 0.1011 0.6941
O5 O 0.1822 0.8953 0.9276
O6 O 0.8178 0.1047 0.0724
O7 O 0.9942 0.8989 0.3059
O8 O 0.5571 0.2500 0.8858
O9 O 0.6999 0.6011 0.3059
O10 O 0.8901 0.6047 0.9276

=====

No. 3
# Na2GaBO4 (PBE, optimized geometry)
# - magnetization (μB per cell) = 0.00
# - ΔE_f (raw) (eV per atom) = -1.7301
# - crystal system = orthorhombic
# - energy (eV for the cell shown) = -92.032
data_Na2GaBO4
_symmetry_space_group_name_H-M 'P 1'
_symmetry_Int_Tables_number 1
_cell_length_a 4.6126
_cell_length_b 5.6855
_cell_length_c 9.7158
_cell_angle_alpha 84.47
_cell_angle_beta 76.27
_cell_angle_gamma 66.07
loop_
_symmetry_equiv_pos_as_xyz
'x,y,z'
loop_
_atom_site_label
_atom_site_type_symbol
_atom_site_fract_x
_atom_site_fract_y
_atom_site_fract_z
Na1 Na 0.1873 0.0000 0.6255
Na2 Na 0.8127 0.0000 0.3745
Na3 Na 0.5627 0.5000 0.8745
Na4 Na 0.9373 0.5000 0.1255
Ga1 Ga 0.7500 0.5000 0.5000
Ga2 Ga 0.0000 0.0000 0.0000
B1 B 0.2500 0.5000 0.5000
B2 B 0.5000 0.0000 0.0000
O1 O 0.3470 0.8253 0.0856
O2 O 0.2579 0.1747 0.9144
O3 O 0.8277 0.8253 0.9144
O4 O 0.5674 0.1747 0.0856
O5 O 0.4030 0.6747 0.4144
O6 O 0.4921 0.3253 0.5856
O7 O 0.9223 0.6747 0.5856
O8 O 0.1826 0.3253 0.4144